Entry 1:
A plane-wave DFT calculation with PBE was carried out for a relaxed structure of TlCrSi3.

As for the uncorrected formation energy: 0.3507 eV per atom.

It has space group Pm-3m (No. 221), with a = 4.5955 Å, b = 4.5955 Å, c = 4.5955 Å, α = 90.00°, β = 90.00° and γ = 90.00°. The asymmetric unit holds Tl at (0.0000, 0.0000, 0.0000), Cr at (0.5000, 0.5000, 0.5000) and Si at (0.0000, 0.5000, 0.5000).

=====

Entry 2:
A plane-wave DFT calculation with PBE was carried out for a relaxed structure of Tl2CrSi.

As for the uncorrected formation energy: 0.6498 eV per atom.

It has space group I-4m2 (No. 119), with a = 4.3586 Å, b = 4.3586 Å, c = 9.2787 Å, α = 90.00°, β = 90.00° and γ = 90.00°. The asymmetric unit holds Tl at (0.0000, 0.0000, 0.0000), Tl at (0.0000, 0.5000, 0.2500), Cr at (0.0000, 0.5000, 0.7500) and Si at (0.0000, 0.0000, 0.5000).

=====

Entry 3:
A plane-wave DFT calculation with PBE was carried out for a relaxed structure of Tl2CrSi.

As for the uncorrected formation energy: 0.6459 eV per atom.

It has space group Pmmm (No. 47), with a = 4.2384 Å, b = 4.2885 Å, c = 4.8484 Å, α = 90.00°, β = 90.00° and γ = 90.00°. The asymmetric unit holds Tl at (0.0000, 0.0000, 0.0000), Tl at (0.5000, 0.0000, 0.5000), Cr at (0.0000, 0.5000, 0.5000) and Si at (0.5000, 0.5000, 0.0000).

=====

Number 1: excess energy over the best structure of this formula in the dataset 0 meV per atom, Fermi-level density of states 0.81 states/eV per atom. Number 2: excess energy over the best structure of this formula in the dataset 358 meV per atom, Fermi-level density of states 0.64 states/eV per atom. Number 3: excess energy over the best structure of this formula in the dataset 354 meV per atom, Fermi-level density of states 0.50 states/eV per atom.